# 1
# PIBrO2, relaxed, DFT PBE-GGA
data_PIBrO2
_chemical_formula_sum 'P1 I1 Br1 O2'
_cell_length_a 3.926
_cell_length_b 3.926
_cell_length_c 5.766
_cell_angle_alpha 90.00
_cell_angle_beta 90.00
_cell_angle_gamma 90.00
_symmetry_space_group_name_H-M 'P 4/m m m'
_symmetry_Int_Tables_number 123
_symmetry_space_group_name_Hall '-P 4 2'
loop_
_atom_site_label
_atom_site_type_symbol
_atom_site_fract_x
_atom_site_fract_y
_atom_site_fract_z
P1 P 0.000 0.000 0.000
I1 I 0.500 0.500 0.000
Br1 Br 0.000 0.000 0.500
O1 O 0.000 0.500 0.500
# Polymorph energy (0 for the lowest one) = 625 meV/atom

# 2
# P2IBrO, relaxed, DFT PBE-GGA
data_P2IBrO
_chemical_formula_sum 'P2 I1 Br1 O1'
_cell_length_a 5.360
_cell_length_b 5.360
_cell_length_c 3.996
_cell_angle_alpha 90.00
_cell_angle_beta 90.00
_cell_angle_gamma 90.00
_symmetry_space_group_name_H-M 'P 4/m m m'
_symmetry_Int_Tables_number 123
_symmetry_space_group_name_Hall '-P 4 2'
loop_
_atom_site_label
_atom_site_type_symbol
_atom_site_fract_x
_atom_site_fract_y
_atom_site_fract_z
P1 P 0.000 0.500 0.000
I1 I 0.000 0.000 0.000
Br1 Br 0.500 0.500 0.500
O1 O 0.000 0.000 0.500
# Polymorph energy (0 for the lowest one) = 0 meV/atom

# 3
# PIBrO2, relaxed, DFT PBE-GGA
data_PIBrO2
_chemical_formula_sum 'P1 I1 Br1 O2'
_cell_length_a 3.848
_cell_length_b 3.848
_cell_length_c 6.301
_cell_angle_alpha 90.00
_cell_angle_beta 90.00
_cell_angle_gamma 90.00
_symmetry_space_group_name_H-M 'P 4/m m m'
_symmetry_Int_Tables_number 123
_symmetry_space_group_name_Hall '-P 4 2'
loop_
_atom_site_label
_atom_site_type_symbol
_atom_site_fract_x
_atom_site_fract_y
_atom_site_fract_z
P1 P 0.000 0.000 0.000
I1 I 0.000 0.000 0.500
Br1 Br 0.500 0.500 0.500
O1 O 0.000 0.500 0.000
# Polymorph energy (0 for the lowest one) = 0 meV/atom

# 4
# PI2BrO, relaxed, DFT PBE-GGA
data_PI2BrO
_chemical_formula_sum 'P1 I2 Br1 O1'
_cell_length_a 5.838
_cell_length_b 5.838
_cell_length_c 3.949
_cell_angle_alpha 90.00
_cell_angle_beta 90.00
_cell_angle_gamma 90.00
_symmetry_space_group_name_H-M 'P 4/m m m'
_symmetry_Int_Tables_number 123
_symmetry_space_group_name_Hall '-P 4 2'
loop_
_atom_site_label
_atom_site_type_symbol
_atom_site_fract_x
_atom_site_fract_y
_atom_site_fract_z
P1 P 0.000 0.000 0.000
I1 I 0.000 0.500 0.500
Br1 Br 0.500 0.500 0.500
O1 O 0.500 0.500 0.000
# Polymorph energy (0 for the lowest one) = 1019 meV/atom

# 5
# PI2BrO, relaxed, DFT PBE-GGA
data_PI2BrO
_chemical_formula_sum 'P1 I2 Br1 O1'
_cell_length_a 6.010
_cell_length_b 6.010
_cell_length_c 3.457
_cell_angle_alpha 90.00
_cell_angle_beta 90.00
_cell_angle_gamma 90.00
_symmetry_space_group_name_H-M 'P 4/m m m'
_symmetry_Int_Tables_number 123
_symmetry_space_group_name_Hall '-P 4 2'
loop_
_atom_site_label
_atom_site_type_symbol
_atom_site_fract_x
_atom_site_fract_y
_atom_site_fract_z
P1 P 0.000 0.000 0.000
I1 I 0.000 0.500 0.000
Br1 Br 0.500 0.500 0.500
O1 O 0.000 0.000 0.500
# Polymorph energy (0 for the lowest one) = 0 meV/atom

# 6
# PaIBrO, relaxed, DFT PBE-GGA
data_PaIBrO
_chemical_formula_sum 'Pa2 I2 Br2 O2'
_cell_length_a 6.748
_cell_length_b 3.896
_cell_length_c 8.867
_cell_angle_alpha 90.00
_cell_angle_beta 104.81
_cell_angle_gamma 90.00
_symmetry_space_group_name_H-M 'C 1 m 1'
_symmetry_Int_Tables_number 8
_symmetry_space_group_name_Hall 'C -2y'
loop_
_atom_site_label
_atom_site_type_symbol
_atom_site_fract_x
_atom_site_fract_y
_atom_site_fract_z
Pa1 Pa 0.000 0.000 0.000
I1 I 0.260 0.500 0.278
Br1 Br 0.083 0.500 0.749
O1 O 0.333 0.000 0.000
# Total DFT energy (no corrections) = -0.240 hartree per atom

# 7
# PbIBrO2, relaxed, DFT PBE-GGA
data_PbIBrO2
_chemical_formula_sum 'Pb1 I1 Br1 O2'
_cell_length_a 4.293
_cell_length_b 4.293
_cell_length_c 6.534
_cell_angle_alpha 90.00
_cell_angle_beta 90.00
_cell_angle_gamma 90.00
_symmetry_space_group_name_H-M 'P 4/m m m'
_symmetry_Int_Tables_number 123
_symmetry_space_group_name_Hall '-P 4 2'
loop_
_atom_site_label
_atom_site_type_symbol
_atom_site_fract_x
_atom_site_fract_y
_atom_site_fract_z
Pb1 Pb 0.000 0.000 0.000
I1 I 0.500 0.500 0.000
Br1 Br 0.500 0.500 0.500
O1 O 0.000 0.500 0.500
# Polymorph energy (0 for the lowest one) = 491 meV/atom

# 8
# PbIBrO2, relaxed, DFT PBE-GGA
data_PbIBrO2
_chemical_formula_sum 'Pb1 I1 Br1 O2'
_cell_length_a 4.261
_cell_length_b 4.261
_cell_length_c 7.451
_cell_angle_alpha 90.00
_cell_angle_beta 90.00
_cell_angle_gamma 90.00
_symmetry_space_group_name_H-M 'P 4/m m m'
_symmetry_Int_Tables_number 123
_symmetry_space_group_name_Hall '-P 4 2'
loop_
_atom_site_label
_atom_site_type_symbol
_atom_site_fract_x
_atom_site_fract_y
_atom_site_fract_z
Pb1 Pb 0.000 0.000 0.000
I1 I 0.000 0.000 0.500
Br1 Br 0.500 0.500 0.500
O1 O 0.000 0.500 0.000
# Polymorph energy (0 for the lowest one) = 0 meV/atom

# 9
# PbIBrO4, relaxed, DFT PBE-GGA
data_PbIBrO4
_chemical_formula_sum 'Pb4 I4 Br4 O16'
_cell_length_a 11.597
_cell_length_b 7.906
_cell_length_c 7.543
_cell_angle_alpha 90.00
_cell_angle_beta 108.11
_cell_angle_gamma 90.00
_symmetry_space_group_name_H-M 'C 1 2/m 1'
_symmetry_Int_Tables_number 12
_symmetry_space_group_name_Hall '-C 2y'
loop_
_atom_site_label
_atom_site_type_symbol
_atom_site_fract_x
_atom_site_fract_y
_atom_site_fract_z
Pb1 Pb 0.198 0.000 0.136
I1 I 0.133 0.500 0.258
Br1 Br 0.016 0.000 0.757
O1 O 0.029 0.500 0.814
O2 O 0.191 0.500 0.509
O3 O 0.194 0.320 0.168
# Total DFT energy (no corrections) = -0.156 hartree per atom

# 10
# Pb3IBr2O6, relaxed, DFT PBE-GGA
data_Pb3IBr2O6
_chemical_formula_sum 'Pb6 I2 Br4 O12'
_cell_length_a 12.956
_cell_length_b 6.732
_cell_length_c 5.728
_cell_angle_alpha 90.00
_cell_angle_beta 93.54
_cell_angle_gamma 90.00
_symmetry_space_group_name_H-M 'C 1 2/m 1'
_symmetry_Int_Tables_number 12
_symmetry_space_group_name_Hall '-C 2y'
loop_
_atom_site_label
_atom_site_type_symbol
_atom_site_fract_x
_atom_site_fract_y
_atom_site_fract_z
Pb1 Pb 0.000 0.000 0.000
Pb2 Pb 0.250 0.250 0.500
I1 I 0.000 0.500 0.500
Br1 Br 0.220 0.000 0.925
O1 O 0.055 0.292 0.309
O2 O 0.129 0.500 0.676
# Total DFT energy (no corrections) = -0.159 hartree per atom

# 11
# PdI2BrO, relaxed, DFT PBE-GGA
data_PdI2BrO
_chemical_formula_sum 'Pd1 I2 Br1 O1'
_cell_length_a 5.775
_cell_length_b 5.775
_cell_length_c 3.946
_cell_angle_alpha 90.00
_cell_angle_beta 90.00
_cell_angle_gamma 90.00
_symmetry_space_group_name_H-M 'P 4/m m m'
_symmetry_Int_Tables_number 123
_symmetry_space_group_name_Hall '-P 4 2'
loop_
_atom_site_label
_atom_site_type_symbol
_atom_site_fract_x
_atom_site_fract_y
_atom_site_fract_z
Pd1 Pd 0.000 0.000 0.000
I1 I 0.000 0.500 0.500
Br1 Br 0.500 0.500 0.500
O1 O 0.500 0.500 0.000
# Polymorph energy (0 for the lowest one) = 527 meV/atom

# 12
# PdI2BrO, relaxed, DFT PBE-GGA
data_PdI2BrO
_chemical_formula_sum 'Pd1 I2 Br1 O1'
_cell_length_a 5.754
_cell_length_b 5.754
_cell_length_c 3.864
_cell_angle_alpha 90.00
_cell_angle_beta 90.00
_cell_angle_gamma 90.00
_symmetry_space_group_name_H-M 'P 4/m m m'
_symmetry_Int_Tables_number 123
_symmetry_space_group_name_Hall '-P 4 2'
loop_
_atom_site_label
_atom_site_type_symbol
_atom_site_fract_x
_atom_site_fract_y
_atom_site_fract_z
Pd1 Pd 0.000 0.000 0.000
I1 I 0.000 0.500 0.000
Br1 Br 0.500 0.500 0.500
O1 O 0.000 0.000 0.500
# Polymorph energy (0 for the lowest one) = 0 meV/atom

# 13
# PtI2BrO, relaxed, DFT PBE-GGA
data_PtI2BrO
_chemical_formula_sum 'Pt1 I2 Br1 O1'
_cell_length_a 5.835
_cell_length_b 5.835
_cell_length_c 3.777
_cell_angle_alpha 90.00
_cell_angle_beta 90.00
_cell_angle_gamma 90.00
_symmetry_space_group_name_H-M 'P 4/m m m'
_symmetry_Int_Tables_number 123
_symmetry_space_group_name_Hall '-P 4 2'
loop_
_atom_site_label
_atom_site_type_symbol
_atom_site_fract_x
_atom_site_fract_y
_atom_site_fract_z
Pt1 Pt 0.000 0.000 0.000
I1 I 0.000 0.500 0.000
Br1 Br 0.500 0.500 0.500
O1 O 0.000 0.000 0.500
# Polymorph energy (0 for the lowest one) = 0 meV/atom